Below is crystalline TiW at its relaxed geometry, with properties calculated at the PBE level.

Structure (CIF):
```
data_TiW
_chemical_formula_sum 'Ti6 W6'
_symmetry_space_group_name_H-M 'P 1'
_symmetry_Int_Tables_number 1
_symmetry_space_group_name_Hall 'P 1'
_cell_length_a 7.1459
_cell_length_b 7.1459
_cell_length_c 7.1459
_cell_angle_alpha 90.00
_cell_angle_beta 90.00
_cell_angle_gamma 90.00
loop_
_atom_site_label
_atom_site_type_symbol
_atom_site_fract_x
_atom_site_fract_y
_atom_site_fract_z
_atom_site_occupancy
W1 W 0.7500 0.0000 0.5000 1
W2 W 0.2500 0.0000 0.5000 1
W3 W 0.0000 0.5000 0.2500 1
W4 W 0.0000 0.5000 0.7500 1
W5 W 0.5000 0.2500 0.0000 1
W6 W 0.5000 0.7500 0.0000 1
Ti1 Ti 0.0000 0.7500 0.5000 1
Ti2 Ti 0.2500 0.5000 0.0000 1
Ti3 Ti 0.0000 0.2500 0.5000 1
Ti4 Ti 0.5000 0.0000 0.2500 1
Ti5 Ti 0.7500 0.5000 0.0000 1
Ti6 Ti 0.5000 0.0000 0.7500 1
```

Computed properties:
formation enthalpy at 0 K = 2847 meV/atom
density of states at the Fermi level = 1.99 states/eV per atom
space group = Pm-3n (223)